A geometry-optimized Al2Tl2Bi structure. Source: Alexandria, functional PBE-GGA.

- magnetization (μB/f.u.) = 0.0
- theoretical density (g/cm3) = 8.05
- formation energy from the elements (eV per formula unit) = 1.14
- volume (A^3/atom) = 27.712
- E (eV/atom) = -2.99

Unit cell a=10.0251 b=10.0251 c=10.0251 alpha=158.22 beta=158.22 gamma=30.99
Atoms (fractional coordinates):
1 Al 0.2500 0.7500 0.5000
2 Al 0.7500 0.2500 0.5000
3 Tl 0.1132 0.1132 0.0000
4 Tl 0.8868 0.8868 0.0000
5 Bi 0.5000 0.5000 0.0000